# MgBeCo2 (PBE, relaxed)
data_MgBeCo2
_space_group_name_H-M_alt 'C 1 m 1'
_space_group_IT_number 8
_cell_length_a 9.152
_cell_length_b 2.749
_cell_length_c 4.092
_cell_angle_alpha 90.00
_cell_angle_beta 115.80
_cell_angle_gamma 90.00
loop_
_space_group_symop_operation_xyz
'x,y,z'
'x,-y,z'
'x+1/2,y+1/2,z'
'x+1/2,-y+1/2,z'
loop_
_atom_site_label
_atom_site_fract_x
_atom_site_fract_y
_atom_site_fract_z
Mg1 0.000 0.000 0.000
Be1 0.271 0.500 0.273
Co1 0.229 0.000 0.729
Co2 0.488 0.000 0.488
# Calculated volume, Å³ per cell: 92.7
# Energy of formation, eV per atom: 0.1177
# Distance to the lowest polymorph of the same formula, eV per atom: 0.127